DFT (PBE-GGA) results for crystalline InPt15 at its relaxed geometry.

```
data_InPt15
_chemical_formula_sum 'In2 Pt30'
_symmetry_space_group_name_H-M 'P 1'
_symmetry_Int_Tables_number 1
_cell_length_a 3.9476
_cell_length_b 3.9484
_cell_length_c 45.3432
_cell_angle_alpha 90.00
_cell_angle_beta 90.00
_cell_angle_gamma 90.00
loop_
_symmetry_equiv_pos_as_xyz
'x,y,z'
loop_
_atom_site_label
_atom_site_type_symbol
_atom_site_fract_x
_atom_site_fract_y
_atom_site_fract_z
In1 In 0.7500 0.0000 0.1631
In2 In 0.2500 0.0000 0.8369
Pt1 Pt 0.2500 0.5000 0.1698
Pt2 Pt 0.2500 0.0000 0.2133
Pt3 Pt 0.7500 0.5000 0.2133
Pt4 Pt 0.2500 0.5000 0.2573
Pt5 Pt 0.7500 0.0000 0.2583
Pt6 Pt 0.7500 0.5000 0.3019
Pt7 Pt 0.2500 0.0000 0.3019
Pt8 Pt 0.7500 0.0000 0.3457
Pt9 Pt 0.2500 0.5000 0.3459
Pt10 Pt 0.2500 0.0000 0.3898
Pt11 Pt 0.7500 0.5000 0.3898
Pt12 Pt 0.2500 0.5000 0.4338
Pt13 Pt 0.7500 0.0000 0.4339
Pt14 Pt 0.7500 0.5000 0.4779
Pt15 Pt 0.2500 0.0000 0.4780
Pt16 Pt 0.7500 0.0000 0.5220
Pt17 Pt 0.2500 0.5000 0.5221
Pt18 Pt 0.2500 0.0000 0.5661
Pt19 Pt 0.7500 0.5000 0.5662
Pt20 Pt 0.2500 0.5000 0.6102
Pt21 Pt 0.7500 0.0000 0.6102
Pt22 Pt 0.7500 0.5000 0.6541
Pt23 Pt 0.2500 0.0000 0.6543
Pt24 Pt 0.7500 0.0000 0.6981
Pt25 Pt 0.2500 0.5000 0.6981
Pt26 Pt 0.2500 0.0000 0.7417
Pt27 Pt 0.7500 0.5000 0.7427
Pt28 Pt 0.2500 0.5000 0.7867
Pt29 Pt 0.7500 0.0000 0.7867
Pt30 Pt 0.7500 0.5000 0.8302
```

Results
distance to the lowest polymorph of the same formula	0	meV per atom
raw total energy	-0.215	hartree per atom
spin magnetization	0.03	μB per cell
space-group type	No. 51


DFT (PBE-GGA) results for crystalline In3Pt at its relaxed geometry.

```
data_In3Pt
_chemical_formula_sum 'In6 Pt2'
_symmetry_space_group_name_H-M 'P 1'
_symmetry_Int_Tables_number 1
_cell_length_a 6.0929
_cell_length_b 6.0929
_cell_length_c 6.4583
_cell_angle_alpha 90.00
_cell_angle_beta 90.00
_cell_angle_gamma 120.00
loop_
_symmetry_equiv_pos_as_xyz
'x,y,z'
loop_
_atom_site_label
_atom_site_type_symbol
_atom_site_fract_x
_atom_site_fract_y
_atom_site_fract_z
In1 In 0.2995 0.0000 0.0000
In2 In 0.0000 0.2995 0.0000
In3 In 0.7005 0.7005 0.0000
In4 In 0.7005 0.0000 0.5000
In5 In 0.2995 0.2995 0.5000
In6 In 0.0000 0.7005 0.5000
Pt1 Pt 0.6667 0.3333 0.2500
Pt2 Pt 0.3333 0.6667 0.7500
```

Results
raw total energy	-0.139	hartree per atom
spin magnetization	0.01	μB per cell
space-group type	No. 182


DFT (PBE-GGA) results for crystalline PuInPt at its relaxed geometry.

```
data_PuInPt
_chemical_formula_sum 'Pu1 In1 Pt1'
_symmetry_space_group_name_H-M 'P 1'
_symmetry_Int_Tables_number 1
_cell_length_a 4.7605
_cell_length_b 4.7605
_cell_length_c 4.7605
_cell_angle_alpha 60.00
_cell_angle_beta 60.00
_cell_angle_gamma 60.00
loop_
_symmetry_equiv_pos_as_xyz
'x,y,z'
loop_
_atom_site_label
_atom_site_type_symbol
_atom_site_fract_x
_atom_site_fract_y
_atom_site_fract_z
In1 In 0.2500 0.2500 0.2500
Pt1 Pt 0.0000 0.0000 0.0000
Pu1 Pu 0.7500 0.7500 0.7500
```

Results
raw total energy	-0.303	hartree per atom
spin magnetization	5.62	μB per cell
space-group type	No. 216


DFT (PBE-GGA) results for crystalline PuInPt at its relaxed geometry.

```
data_PuInPt
_chemical_formula_sum 'Pu1 In1 Pt1'
_symmetry_space_group_name_H-M 'P 1'
_symmetry_Int_Tables_number 1
_cell_length_a 4.8666
_cell_length_b 4.8666
_cell_length_c 4.8666
_cell_angle_alpha 60.00
_cell_angle_beta 60.00
_cell_angle_gamma 60.00
loop_
_symmetry_equiv_pos_as_xyz
'x,y,z'
loop_
_atom_site_label
_atom_site_type_symbol
_atom_site_fract_x
_atom_site_fract_y
_atom_site_fract_z
In1 In 0.5000 0.5000 0.5000
Pt1 Pt 0.0000 0.0000 0.0000
Pu1 Pu 0.7500 0.7500 0.7500
```

Results
raw total energy	-0.280	hartree per atom
spin magnetization	5.84	μB per cell
space-group type	No. 216


Copy entry 4 word for word.
DFT (PBE-GGA) results for crystalline PuInPt at its relaxed geometry.

```
data_PuInPt
_chemical_formula_sum 'Pu1 In1 Pt1'
_symmetry_space_group_name_H-M 'P 1'
_symmetry_Int_Tables_number 1
_cell_length_a 4.8666
_cell_length_b 4.8666
_cell_length_c 4.8666
_cell_angle_alpha 60.00
_cell_angle_beta 60.00
_cell_angle_gamma 60.00
loop_
_symmetry_equiv_pos_as_xyz
'x,y,z'
loop_
_atom_site_label
_atom_site_type_symbol
_atom_site_fract_x
_atom_site_fract_y
_atom_site_fract_z
In1 In 0.5000 0.5000 0.5000
Pt1 Pt 0.0000 0.0000 0.0000
Pu1 Pu 0.7500 0.7500 0.7500
```

Results
raw total energy	-0.280	hartree per atom
spin magnetization	5.84	μB per cell
space-group type	No. 216